TaIn3: optimized geometry, PBE.

## Properties
ΔE_f = 448 meV/atom
Final energy = -36.55 eV for the cell shown

Geometry as CIF:
```
data_TaIn3
_chemical_formula_sum 'Ta2 In6'
_cell_length_a 5.618
_cell_length_b 5.618
_cell_length_c 5.618
_cell_angle_alpha 90.00
_cell_angle_beta 90.00
_cell_angle_gamma 90.00
_symmetry_space_group_name_H-M 'P m -3 n'
_symmetry_Int_Tables_number 223
_symmetry_space_group_name_Hall '-P 4n 2 3'
loop_
_atom_site_label
_atom_site_type_symbol
_atom_site_fract_x
_atom_site_fract_y
_atom_site_fract_z
Ta1 Ta 0.000 0.000 0.000
In1 In 0.000 0.250 0.500
```

=====

TaIn5: optimized geometry, PBE.

## Properties
Energy above the most stable polymorph in this dataset = 0 meV/atom
ΔE_f = 219 meV/atom
Final energy = -48.46 eV for the cell shown

Geometry as CIF:
```
data_TaIn5
_chemical_formula_sum 'Ta2 In10'
_cell_length_a 11.807
_cell_length_b 3.219
_cell_length_c 7.999
_cell_angle_alpha 90.00
_cell_angle_beta 112.11
_cell_angle_gamma 90.00
_symmetry_space_group_name_H-M 'C 1 m 1'
_symmetry_Int_Tables_number 8
loop_
_symmetry_equiv_pos_as_xyz
'x,y,z'
'x,-y,z'
'x+1/2,y+1/2,z'
'x+1/2,-y+1/2,z'
loop_
_atom_site_label
_atom_site_type_symbol
_atom_site_fract_x
_atom_site_fract_y
_atom_site_fract_z
Ta1 Ta 0.000 0.000 0.000
In1 In 0.027 0.000 0.624
In2 In 0.196 0.500 0.342
In3 In 0.211 0.500 0.968
In4 In 0.312 0.000 0.711
In5 In 0.422 0.000 0.263
```

=====

TaIn: optimized geometry, PBE.

## Properties
ΔE_f = 314 meV/atom
Final energy = -83.78 eV for the cell shown

Geometry as CIF:
```
data_TaIn
_chemical_formula_sum 'Ta6 In6'
_cell_length_a 3.0615
_cell_length_b 3.0615
_cell_length_c 30.8926
_cell_angle_alpha 90.00
_cell_angle_beta 90.00
_cell_angle_gamma 120.00
_symmetry_space_group_name_H-M 'R -3 m'
_symmetry_Int_Tables_number 166
_symmetry_space_group_name_Hall '-R 3 2"'
loop_
_atom_site_label
_atom_site_type_symbol
_atom_site_fract_x
_atom_site_fract_y
_atom_site_fract_z
Ta1 Ta 0.0000 0.0000 0.1270
In1 In 0.0000 0.0000 0.3795
```

=====

TaIn: optimized geometry, PBE.

## Properties
ΔE_f = 245 meV/atom
Final energy = -28.20 eV for the cell shown

Geometry as CIF:
```
data_TaIn
_chemical_formula_sum 'Ta2 In2'
_cell_length_a 3.665
_cell_length_b 4.617
_cell_length_c 4.672
_cell_angle_alpha 90.00
_cell_angle_beta 90.00
_cell_angle_gamma 90.00
_symmetry_space_group_name_H-M 'C m m m'
_symmetry_Int_Tables_number 65
_symmetry_space_group_name_Hall '-C 2 2'
loop_
_atom_site_label
_atom_site_type_symbol
_atom_site_fract_x
_atom_site_fract_y
_atom_site_fract_z
Ta1 Ta 0.000 0.000 0.000
In1 In 0.000 0.500 0.500
```

=====

TaIn3: optimized geometry, PBE.

## Properties
ΔE_f = 221 meV/atom
Final energy = -19.18 eV for the cell shown

Geometry as CIF:
```
data_TaIn3
_chemical_formula_sum 'Ta1 In3'
_cell_length_a 3.049
_cell_length_b 3.049
_cell_length_c 9.774
_cell_angle_alpha 90.00
_cell_angle_beta 90.00
_cell_angle_gamma 90.00
_symmetry_space_group_name_H-M 'P 4/m m m'
_symmetry_Int_Tables_number 123
_symmetry_space_group_name_Hall '-P 4 2'
loop_
_atom_site_label
_atom_site_type_symbol
_atom_site_fract_x
_atom_site_fract_y
_atom_site_fract_z
Ta1 Ta 0.000 0.000 0.000
In1 In 0.000 0.000 0.500
In2 In 0.500 0.500 0.222
```

=====

TaIn3: optimized geometry, PBE.

## Properties
ΔE_f = 293 meV/atom
Final energy = -18.90 eV for the cell shown

Geometry as CIF:
```
data_TaIn3
_chemical_formula_sum 'Ta1 In3'
_cell_length_a 3.011
_cell_length_b 5.297
_cell_length_c 5.513
_cell_angle_alpha 90.00
_cell_angle_beta 91.85
_cell_angle_gamma 90.00
_symmetry_space_group_name_H-M 'P 1 2/m 1'
_symmetry_Int_Tables_number 10
loop_
_symmetry_equiv_pos_as_xyz
'x,y,z'
'-x,-y,-z'
'-x,y,-z'
'x,-y,z'
loop_
_atom_site_label
_atom_site_type_symbol
_atom_site_fract_x
_atom_site_fract_y
_atom_site_fract_z
Ta1 Ta 0.000 0.000 0.000
In1 In 0.318 0.500 0.240
In2 In 0.500 0.000 0.500
```

=====

Ta5In3: optimized geometry, PBE.

## Properties
Energy above the most stable polymorph in this dataset = 0 meV/atom
ΔE_f = 148 meV/atom
Final energy = -132.60 eV for the cell shown

Geometry as CIF:
```
data_Ta5In3
_chemical_formula_sum 'Ta10 In6'
_cell_length_a 9.022
_cell_length_b 9.034
_cell_length_c 3.778
_cell_angle_alpha 90.00
_cell_angle_beta 90.00
_cell_angle_gamma 90.00
_symmetry_space_group_name_H-M 'C m m m'
_symmetry_Int_Tables_number 65
_symmetry_space_group_name_Hall '-C 2 2'
loop_
_atom_site_label
_atom_site_type_symbol
_atom_site_fract_x
_atom_site_fract_y
_atom_site_fract_z
Ta1 Ta 0.000 0.000 0.000
Ta2 Ta 0.000 0.244 0.500
Ta3 Ta 0.250 0.250 0.000
In1 In 0.000 0.500 0.000
In2 In 0.246 0.000 0.500
```

=====

Ta3In: optimized geometry, PBE.

## Properties
ΔE_f = 189 meV/atom
Final energy = -75.08 eV for the cell shown

Geometry as CIF:
```
data_Ta3In
_chemical_formula_sum 'Ta6 In2'
_cell_length_a 9.903
_cell_length_b 2.935
_cell_length_c 5.304
_cell_angle_alpha 90.00
_cell_angle_beta 97.60
_cell_angle_gamma 90.00
_symmetry_space_group_name_H-M 'C 1 2/m 1'
_symmetry_Int_Tables_number 12
loop_
_symmetry_equiv_pos_as_xyz
'x,y,z'
'-x,-y,-z'
'-x,y,-z'
'x,-y,z'
'x+1/2,y+1/2,z'
'-x+1/2,-y+1/2,-z'
'-x+1/2,y+1/2,-z'
'x+1/2,-y+1/2,z'
loop_
_atom_site_label
_atom_site_type_symbol
_atom_site_fract_x
_atom_site_fract_y
_atom_site_fract_z
Ta1 Ta 0.000 0.000 0.000
Ta2 Ta 0.248 0.000 0.754
In1 In 0.000 0.500 0.500
```

=====

The volume results, record by record, are as follows: 177; 282; 251; 79; 91; 88; 308; 153 Å³/cell.